Entry 1:
12
Lattice="7.550 -2.126 0.000 7.550 2.126 0.000 -5.404 0.000 8.047" Properties=species:S:1:pos:R:3 comment="Li3CaHg2, relaxed, DFT PBE" sg=C2/m final_energy_ev_per_atom=-1.7275 crystal_system=monoclinic pbc="T T T"
Li -1.262 0.000 3.307
Li 1.718 0.000 3.300
Li 4.739 0.000 2.539
Li 4.958 0.000 5.508
Li 7.979 0.000 4.747
Li 10.958 0.000 4.740
Ca -3.547 0.000 8.026
Ca 13.244 0.000 0.021
Hg -1.013 0.000 6.020
Hg 2.153 0.000 6.168
Hg 7.544 0.000 1.879
Hg 10.709 0.000 2.026

=====

Entry 2:
10
Lattice="5.025 0.000 0.000 0.000 9.367 0.000 -0.011 0.000 6.800" Properties=species:S:1:pos:R:3 comment="LiCa3Hg, relaxed, DFT PBE" e_above_lowest_polymorph_mev_per_atom=11 sg=P2_1/m crystal_system=monoclinic pbc="T T T"
Li 1.255 2.342 0.467
Li 3.759 7.026 6.334
Ca 1.249 5.130 4.944
Ca 1.253 7.026 1.680
Ca 1.249 8.921 4.944
Ca 3.766 0.446 1.857
Ca 3.761 2.342 5.121
Ca 3.766 4.237 1.857
Hg 1.251 2.342 3.160
Hg 3.763 7.026 3.640

=====

Entry 3:
12
Lattice="-2.689 3.788 8.093 2.689 -3.788 8.093 2.689 3.788 -8.093" Properties=species:S:1:pos:R:3 comment="LiCa6Hg5, relaxed, DFT PBE" sg=Immm final_energy_ev_per_atom=-1.7601 crystal_system=orthorhombic pbc="T T T"
Li 0.000 0.000 0.000
Ca 2.689 -1.863 5.339
Ca 2.689 1.961 0.000
Ca 0.000 1.924 2.754
Ca 2.689 1.863 5.339
Ca 0.000 1.827 8.093
Ca 0.000 5.651 2.754
Hg 2.689 0.000 2.537
Hg 0.000 0.000 5.387
Hg 0.000 3.788 0.000
Hg 0.000 0.000 10.800
Hg 0.000 3.788 5.556

=====

Entry 4:
8
Lattice="4.063 0.000 0.000 0.000 4.915 0.000 0.000 0.000 12.231" Properties=species:S:1:pos:R:3 comment="Li3Ca4Hg, relaxed, DFT PBE" e_above_lowest_polymorph_mev_per_atom=10 sg=Pmm2 crystal_system=orthorhombic pbc="T T T"
Li 0.000 0.000 0.000
Li 0.000 2.458 1.681
Li 2.032 0.000 6.192
Ca 0.000 0.000 8.731
Ca 0.000 2.458 5.245
Ca 2.032 0.000 2.764
Ca 2.032 2.458 11.088
Hg 2.032 2.458 7.794

=====

Entry 5:
4
Lattice="5.973 -1.820 0.000 5.973 1.820 0.000 -1.943 0.000 5.233" Properties=species:S:1:pos:R:3 comment="LiCa2Hg, relaxed, DFT PBE" sg=Cm final_energy_ev_per_atom=-1.8094 crystal_system=monoclinic pbc="T T T"
Li 0.000 0.000 0.000
Ca 1.154 0.000 4.068
Ca 4.299 0.000 2.250
Hg 7.713 0.000 1.332

=====

Entry 6:
14
Lattice="-2.177 5.831 6.838 2.177 -5.831 6.838 2.177 5.831 -6.838" Properties=species:S:1:pos:R:3 comment="Li2Ca3Hg9, relaxed, DFT PBE" sg=Immm final_energy_ev_per_atom=-1.2602 crystal_system=orthorhombic pbc="T T T"
Li 0.000 2.157 0.000
Li 0.000 9.506 0.000
Ca 0.000 0.000 2.791
Ca 0.000 0.000 6.838
Ca 0.000 0.000 10.885
Hg 2.177 0.000 0.000
Hg 2.177 2.366 -1.954
Hg 2.177 -1.491 4.928
Hg 2.177 2.366 1.954
Hg 2.177 1.491 4.928
Hg 0.000 4.340 1.911
Hg 0.000 3.465 4.884
Hg 0.000 7.323 1.911
Hg 0.000 3.465 8.792

=====

Entry 7:
18
Lattice="6.925 0.000 0.000 0.000 6.925 0.000 0.000 0.000 8.537" Properties=species:S:1:pos:R:3 comment="Li4CaHg4, relaxed, DFT PBE" sg=P4_2/nmc final_energy_ev_per_atom=-1.4920 crystal_system=tetragonal pbc="T T T"
Li 0.004 5.194 1.164
Li 1.731 3.467 3.105
Li 1.731 6.921 3.105
Li 3.458 5.194 1.164
Li 3.467 1.731 7.373
Li 5.194 0.004 5.432
Li 5.194 3.458 5.432
Li 6.921 1.731 7.373
Ca 1.731 5.194 6.403
Ca 5.194 1.731 2.134
Hg 0.257 1.731 4.695
Hg 1.731 0.257 0.426
Hg 1.731 3.206 0.426
Hg 3.206 1.731 4.695
Hg 3.719 5.194 3.842
Hg 5.194 3.719 8.111
Hg 5.194 6.668 8.111
Hg 6.668 5.194 3.842

=====

Entry 8:
10
Lattice="4.868 -6.501 0.000 4.868 6.501 0.000 0.000 0.000 3.719" Properties=species:S:1:pos:R:3 comment="Li7CaHg2, relaxed, DFT PBE" sg=Cmmm final_energy_ev_per_atom=-1.6841 crystal_system=orthorhombic pbc="T T T"
Li 0.000 0.000 0.000
Li 2.286 1.775 0.000
Li 4.868 4.486 1.859
Li 2.286 -1.775 0.000
Li 7.451 1.775 0.000
Li 4.868 -4.486 1.859
Li 7.451 -1.775 0.000
Ca 4.868 0.000 1.859
Hg 4.868 2.636 0.000
Hg 4.868 -2.636 0.000

=====

Entry 9:
4
Lattice="3.881 0.000 0.000 0.000 3.820 0.000 -0.053 0.000 7.780" Properties=species:S:1:pos:R:3 comment="LiCa2Hg, relaxed, DFT PBE" sg=P2/m final_energy_ev_per_atom=-1.8477 crystal_system=monoclinic pbc="T T T"
Li 0.000 0.000 0.000
Ca 1.925 1.910 2.080
Ca 1.903 1.910 5.699
Hg -0.026 0.000 3.890

=====

Entry 10:
14
Lattice="6.011 -2.178 0.000 6.011 2.178 0.000 -5.410 0.000 14.776" Properties=species:S:1:pos:R:3 comment="LiCa3Hg3, relaxed, DFT PBE" sg=C2/m final_energy_ev_per_atom=-1.7074 crystal_system=monoclinic pbc="T T T"
Li 0.551 0.000 6.003
Li 6.061 0.000 8.773
Ca -1.067 0.000 11.370
Ca 4.277 0.000 1.169
Ca 2.465 0.000 9.139
Ca 4.147 0.000 5.637
Ca 2.335 0.000 13.607
Ca 7.679 0.000 3.406
Hg -0.960 0.000 3.506
Hg 1.042 0.000 1.129
Hg -1.345 0.000 8.139
Hg 7.957 0.000 6.637
Hg 5.570 0.000 13.647
Hg 7.572 0.000 11.270

=====

Entry 11:
29
Lattice="6.155 -8.311 0.000 6.155 8.311 0.000 -5.253 0.000 9.208" Properties=species:S:1:pos:R:3 comment="Li12Ca16Hg, relaxed, DFT PBE" sg=Cm final_energy_ev_per_atom=-1.9087 crystal_system=monoclinic pbc="T T T"
Li 0.000 0.000 0.000
Li -0.987 3.259 8.643
Li 0.011 0.000 3.045
Li 2.950 6.716 7.369
Li 4.348 3.106 2.505
Li 2.402 1.558 4.303
Li 6.453 1.507 0.809
Li 2.402 -1.558 4.303
Li -0.987 -3.259 8.643
Li 6.453 -1.507 0.809
Li 4.348 -3.106 2.505
Li 2.950 -6.716 7.369
Ca 1.581 5.109 3.976
Ca 3.188 0.000 0.961
Ca 7.063 5.240 1.126
Ca 5.114 5.346 4.980
Ca 2.301 3.229 7.203
Ca 0.183 0.000 6.956
Ca 1.581 -5.109 3.976
Ca 5.533 0.000 3.723
Ca 5.818 1.956 6.902
Ca 2.301 -3.229 7.203
Ca 9.663 1.909 1.149
Ca 5.818 -1.956 6.902
Ca 7.063 -5.240 1.126
Ca 9.663 -1.909 1.149
Ca 9.163 0.000 4.539
Ca 5.114 -5.346 4.980
Hg 3.290 0.000 7.918

=====

Entry 12:
16
Lattice="4.565 0.000 0.000 0.000 4.565 0.000 0.000 0.000 17.905" Properties=species:S:1:pos:R:3 comment="Li3CaHg12, relaxed, DFT PBE" sg=P4/mmm final_energy_ev_per_atom=-0.9275 crystal_system=tetragonal pbc="T T T"
Li 0.000 0.000 0.000
Li 0.000 0.000 4.312
Li 0.000 0.000 13.592
Ca 0.000 0.000 8.952
Hg 0.000 2.282 2.169
Hg 0.000 2.282 6.537
Hg 0.000 2.282 11.368
Hg 0.000 2.282 15.735
Hg 2.282 0.000 2.169
Hg 2.282 0.000 6.537
Hg 2.282 0.000 11.368
Hg 2.282 0.000 15.735
Hg 2.282 2.282 0.000
Hg 2.282 2.282 4.367
Hg 2.282 2.282 8.952
Hg 2.282 2.282 13.537